(1)
The following is a PBE-GGA calculation of CaInSi3 after structural relaxation, from the Alexandria database.

Computed properties:
total moment = 0.00 μB per formula unit
energy relative to the lowest polymorph listed for this composition = 0.0000 eV/atom
ΔE_f (raw) = 0.793 eV per atom

a b c (Å): 5.1551 5.1551 5.1551
angles (deg): 90.00 90.00 90.00
With the nearest neighbours (Å) after each atom.
Space group Pm-3m (No. 221)
Symmetry-distinct sites (fractional):
1 Ca 0.0000 0.0000 0.0000 x1  12 Si 3.65
2 In 0.5000 0.5000 0.5000 x1  6 Si 2.58
3 Si 0.0000 0.5000 0.5000 x3  2 In 2.58

(2)
The following is a PBE-GGA calculation of Ca2InSi2 after structural relaxation, from the Alexandria database.

Computed properties:
total moment = 0.00 μB per formula unit
ΔE_f (raw) = -0.433 eV per atom

a b c (Å): 3.8138 14.5508 4.3639
angles (deg): 90.00 90.00 90.00
With the nearest neighbours (Å) after each atom.
Space group Cmmm (No. 65)
Symmetry-distinct sites (fractional):
1 Ca 0.0000 0.1337 0.0000 x4  6 Si 3.06-3.24
2 In 0.0000 0.5000 0.5000 x2  2 Si 2.93
3 Si 0.0000 0.2985 0.5000 x4  2 Si 2.37